Record 1
A relaxed structure of Ac4Ta3N10. Source: the Alexandria database, functional PBE.

Computed properties:
DOS at the Fermi energy in states/eV per atom: 0.77
Formation energy (no corrections) in eV per atom: -1.102
Space-group type: No. 139

Geometry as extended XYZ:
```
17
Lattice="-3.055 -1.481 2.383 -0.439 -3.227 -2.569 11.690 -5.339 8.056" Properties=species:S:1:pos:R:3 pbc="T T T"
Ac -0.357 -3.429 1.020
Ac 8.553 -6.618 6.850
Ac 5.926 -4.585 4.746
Ac 2.270 -5.462 3.124
Ta 2.806 -2.171 2.247
Ta 5.390 -7.876 5.623
Ta 0.000 0.000 0.000
N 2.528 -3.739 0.916
N 1.377 -1.065 1.102
N 1.220 -2.866 3.392
N 5.668 -6.308 6.954
N 6.976 -7.181 4.478
N 6.819 -8.982 6.767
N 4.191 -3.243 3.356
N 4.005 -6.805 4.514
N -0.220 -1.613 -1.284
N -1.527 -0.741 1.192
```

Record 2
A relaxed structure of Ac2Ta3N8. Source: the Alexandria database, functional PBE.

Computed properties:
DOS at the Fermi energy in states/eV per atom: 0.47
Formation energy (no corrections) in eV per atom: -0.759
Relative energy among the computed polymorphs in meV per atom: 80
Space-group type: No. 123

Geometry as extended XYZ:
```
13
Lattice="4.088 0.000 0.000 0.000 4.088 0.000 0.000 0.000 13.355" Properties=species:S:1:pos:R:3 pbc="T T T"
Ac 0.000 0.000 2.075
Ac 0.000 0.000 11.280
Ta 2.044 2.044 4.060
Ta 2.044 2.044 0.000
Ta 2.044 2.044 9.295
N 2.044 0.000 4.277
N 0.000 2.044 4.277
N 0.000 2.044 0.000
N 2.044 2.044 2.111
N 2.044 0.000 9.078
N 0.000 2.044 9.078
N 2.044 2.044 11.245
N 2.044 0.000 0.000
```

Record 3
A relaxed structure of Ac3Ta2N7. Source: the Alexandria database, functional PBE.

Computed properties:
DOS at the Fermi energy in states/eV per atom: 0.74
Formation energy (no corrections) in eV per atom: -0.980
Relative energy among the computed polymorphs in meV per atom: 133
Space-group type: No. 65

Geometry as extended XYZ:
```
12
Lattice="-1.403 -3.809 -0.460 1.910 -0.257 -3.697 8.074 -3.793 6.785" Properties=species:S:1:pos:R:3 pbc="T T T"
Ac 0.253 -2.033 -2.079
Ac 3.438 -3.417 -0.338
Ac 5.142 -4.443 2.965
Ta 8.247 -3.296 2.138
Ta 1.737 -0.755 0.950
N 7.336 -3.187 4.011
N 6.556 -2.562 1.214
N 0.000 0.000 0.000
N 2.647 -0.864 -0.923
N 1.015 -2.650 0.709
N 7.565 -5.209 1.919
N 3.427 -1.489 1.874
```